Record 1
# FeCuReHg, relaxed, DFT PBE
data_FeCuReHg
_chemical_formula_sum 'Fe4 Cu4 Re4 Hg4'
_cell_length_a 6.218
_cell_length_b 6.218
_cell_length_c 6.218
_cell_angle_alpha 90.00
_cell_angle_beta 90.00
_cell_angle_gamma 90.00
_symmetry_space_group_name_H-M 'F -4 3 m'
_symmetry_Int_Tables_number 216
_symmetry_space_group_name_Hall 'F -4 2 3'
loop_
_atom_site_label
_atom_site_type_symbol
_atom_site_fract_x
_atom_site_fract_y
_atom_site_fract_z
Fe1 Fe 0.000 0.000 0.000
Cu1 Cu 0.250 0.250 0.250
Re1 Re 0.000 0.000 0.500
Hg1 Hg 0.250 0.250 0.750
# Energy of formation from the pure elements ... 3.5 eV/f.u.
# Relative energy among the computed polymorphs ... 214 meV per atom
# ρ ... 13.99 g cm⁻³
# Total moment ... 6.60 Bohr magnetons per cell

***

Record 2
# AsP6Au, relaxed, DFT PBE
data_AsP6Au
_chemical_formula_sum 'As4 P24 Au4'
_cell_length_a 8.638
_cell_length_b 8.638
_cell_length_c 8.638
_cell_angle_alpha 90.00
_cell_angle_beta 90.00
_cell_angle_gamma 90.00
_symmetry_space_group_name_H-M 'F -4 3 m'
_symmetry_Int_Tables_number 216
_symmetry_space_group_name_Hall 'F -4 2 3'
loop_
_atom_site_label
_atom_site_type_symbol
_atom_site_fract_x
_atom_site_fract_y
_atom_site_fract_z
As1 As 0.000 0.000 0.000
P1 P 0.000 0.000 0.299
Au1 Au 0.250 0.250 0.750
# Energy ... -135.9 eV per cell
# ρ ... 4.72 g cm⁻³

***

Record 3
# Pa2Al3Pt, relaxed, DFT PBE
data_Pa2Al3Pt
_chemical_formula_sum 'Pa4 Al6 Pt2'
_cell_length_a 5.6236
_cell_length_b 5.6236
_cell_length_c 8.3863
_cell_angle_alpha 90.00
_cell_angle_beta 90.00
_cell_angle_gamma 120.00
_symmetry_space_group_name_H-M 'P 63/m m c'
_symmetry_Int_Tables_number 194
_symmetry_space_group_name_Hall '-P 6c 2c'
loop_
_atom_site_label
_atom_site_type_symbol
_atom_site_fract_x
_atom_site_fract_y
_atom_site_fract_z
Pa1 Pa 0.3333 0.6667 0.0870
Al1 Al 0.1679 0.3357 0.7500
Pt1 Pt 0.0000 0.0000 0.0000
# Energy ... -80.0 eV per cell
# ρ ... 10.67 g cm⁻³
# Total moment ... 0.80 Bohr magnetons per cell

***

Record 4
# UGaAs, relaxed, DFT PBE
data_UGaAs
_chemical_formula_sum 'U4 Ga4 As4'
_cell_length_a 6.638
_cell_length_b 6.638
_cell_length_c 6.638
_cell_angle_alpha 90.00
_cell_angle_beta 90.00
_cell_angle_gamma 90.00
_symmetry_space_group_name_H-M 'F -4 3 m'
_symmetry_Int_Tables_number 216
_symmetry_space_group_name_Hall 'F -4 2 3'
loop_
_atom_site_label
_atom_site_type_symbol
_atom_site_fract_x
_atom_site_fract_y
_atom_site_fract_z
U1 U 0.000 0.000 0.000
Ga1 Ga 0.250 0.250 0.250
As1 As 0.250 0.250 0.750
# Relative energy among the computed polymorphs ... 0 meV per atom
# ρ ... 8.69 g cm⁻³
# Total moment ... 7.83 Bohr magnetons per cell

***

Record 5
# DyGePd, relaxed, DFT PBE
data_DyGePd
_chemical_formula_sum 'Dy4 Ge4 Pd4'
_cell_length_a 6.422
_cell_length_b 6.422
_cell_length_c 6.422
_cell_angle_alpha 90.00
_cell_angle_beta 90.00
_cell_angle_gamma 90.00
_symmetry_space_group_name_H-M 'F -4 3 m'
_symmetry_Int_Tables_number 216
_symmetry_space_group_name_Hall 'F -4 2 3'
loop_
_atom_site_label
_atom_site_type_symbol
_atom_site_fract_x
_atom_site_fract_y
_atom_site_fract_z
Dy1 Dy 0.000 0.000 0.000
Ge1 Ge 0.000 0.000 0.500
Pd1 Pd 0.250 0.250 0.250
# Energy ... -66.8 eV per cell
# ρ ... 8.57 g cm⁻³
# Total moment ... 0.02 Bohr magnetons per cell

***

Record 6
# LiBeAlZn, relaxed, DFT PBE
data_LiBeAlZn
_chemical_formula_sum 'Li4 Be4 Al4 Zn4'
_cell_length_a 5.856
_cell_length_b 5.856
_cell_length_c 5.856
_cell_angle_alpha 90.00
_cell_angle_beta 90.00
_cell_angle_gamma 90.00
_symmetry_space_group_name_H-M 'F -4 3 m'
_symmetry_Int_Tables_number 216
_symmetry_space_group_name_Hall 'F -4 2 3'
loop_
_atom_site_label
_atom_site_type_symbol
_atom_site_fract_x
_atom_site_fract_y
_atom_site_fract_z
Li1 Li 0.000 0.000 0.000
Be1 Be 0.000 0.000 0.500
Al1 Al 0.250 0.250 0.250
Zn1 Zn 0.250 0.250 0.750
# Relative energy among the computed polymorphs ... 0 meV per atom
# ρ ... 3.58 g cm⁻³

***

Record 7
# MgBiMo2, relaxed, DFT PBE
data_MgBiMo2
_chemical_formula_sum 'Mg4 Bi4 Mo8'
_cell_length_a 6.655
_cell_length_b 6.655
_cell_length_c 6.655
_cell_angle_alpha 90.00
_cell_angle_beta 90.00
_cell_angle_gamma 90.00
_symmetry_space_group_name_H-M 'F -4 3 m'
_symmetry_Int_Tables_number 216
_symmetry_space_group_name_Hall 'F -4 2 3'
loop_
_atom_site_label
_atom_site_type_symbol
_atom_site_fract_x
_atom_site_fract_y
_atom_site_fract_z
Mg1 Mg 0.000 0.000 0.000
Bi1 Bi 0.250 0.250 0.750
Mo1 Mo 0.000 0.000 0.500
Mo2 Mo 0.250 0.250 0.250
# Energy ... -100.5 eV per cell
# ρ ... 9.58 g cm⁻³
# Total moment ... 2.01 Bohr magnetons per cell

***

Record 8
# Nd4Se3I4, relaxed, DFT PBE
data_Nd4Se3I4
_chemical_formula_sum 'Nd4 Se3 I4'
_cell_length_a 4.675
_cell_length_b 9.485
_cell_length_c 8.117
_cell_angle_alpha 90.00
_cell_angle_beta 90.00
_cell_angle_gamma 90.00
_symmetry_space_group_name_H-M 'P m m 2'
_symmetry_Int_Tables_number 25
loop_
_symmetry_equiv_pos_as_xyz
'x,y,z'
'-x,-y,z'
'-x,y,z'
'x,-y,z'
loop_
_atom_site_label
_atom_site_type_symbol
_atom_site_fract_x
_atom_site_fract_y
_atom_site_fract_z
Nd1 Nd 0.000 0.000 0.000
Nd2 Nd 0.000 0.500 0.042
Nd3 Nd 0.500 0.267 0.607
Se1 Se 0.000 0.271 0.818
Se2 Se 0.500 0.000 0.792
I1 I 0.000 0.000 0.416
I2 I 0.000 0.500 0.455
I3 I 0.500 0.268 0.187
# Energy ... -51.7 eV per cell
# ρ ... 6.10 g cm⁻³
# Total moment ... 0.03 Bohr magnetons per cell